VASP calculation (PBE with a Hubbard U) on a relaxed structure of NaSrInWO6.

a b c (Å): 5.7749 5.7749 5.7749
angles (deg): 60.00 60.00 60.00
Last column: nearest neighbours and their distance in Å.
Sites, in units of the cell vectors:
1 Na 0.2500 0.2500 0.2500  12 O 2.89
2 Sr 0.7500 0.7500 0.7500  12 O 2.89
3 In 0.0000 0.0000 0.0000  6 O 2.14
4 W 0.5000 0.5000 0.5000  6 O 1.94
5 O 0.2622 0.7378 0.2622  1 W 1.94, 1 In 2.14
6 O 0.7378 0.2622 0.7378  1 W 1.94, 1 In 2.14
7 O 0.2622 0.7378 0.7378  1 W 1.94, 1 In 2.14
8 O 0.7378 0.2622 0.2622  1 W 1.94, 1 In 2.14
9 O 0.2622 0.2622 0.7378  1 W 1.94, 1 In 2.14
10 O 0.7378 0.7378 0.2622  1 W 1.94, 1 In 2.14

## Properties
**D(E_F)**: 0.0 states/eV per cell
**Magnetic moment**: 0.0 μB/cell
**Energy**: -6.38 eV/atom